# PrAl2GaPd4 | the Alexandria database | PBE-GGA | relaxed
# Formation enthalpy at 0 K: -0.78 eV/atom
# DOS(E_F): 0.464 states/eV per atom
data_PrAl2GaPd4
_symmetry_space_group_name_H-M 'R -3 m'
_symmetry_Int_Tables_number 166
_symmetry_space_group_name_Hall '-R 3 2"'
_cell_length_a 4.3232
_cell_length_b 4.3232
_cell_length_c 26.4838
_cell_angle_alpha 90.00
_cell_angle_beta 90.00
_cell_angle_gamma 120.00
loop_
_atom_site_label
_atom_site_type_symbol
_atom_site_fract_x
_atom_site_fract_y
_atom_site_fract_z
Pr1 Pr 0.0000 0.0000 0.0000
Al1 Al 0.0000 0.0000 0.2394
Ga1 Ga 0.0000 0.0000 0.5000
Pd1 Pd 0.0000 0.0000 0.1343
Pd2 Pd 0.0000 0.0000 0.4047


# PrAl2GaPd | the Alexandria database | PBE-GGA | relaxed
# Formation enthalpy at 0 K: -0.68 eV/atom
# DOS(E_F): 0.485 states/eV per atom
data_PrAl2GaPd
_symmetry_space_group_name_H-M 'I m m 2'
_symmetry_Int_Tables_number 44
_cell_length_a 4.1536
_cell_length_b 4.2634
_cell_length_c 11.1252
_cell_angle_alpha 90.00
_cell_angle_beta 90.00
_cell_angle_gamma 90.00
loop_
_symmetry_equiv_pos_as_xyz
'x,y,z'
'-x,-y,z'
'-x,y,z'
'x,-y,z'
'x+1/2,y+1/2,z+1/2'
'-x+1/2,-y+1/2,z+1/2'
'-x+1/2,y+1/2,z+1/2'
'x+1/2,-y+1/2,z+1/2'
loop_
_atom_site_label
_atom_site_type_symbol
_atom_site_fract_x
_atom_site_fract_y
_atom_site_fract_z
Pr1 Pr 0.0000 0.0000 0.0000
Al1 Al 0.0000 0.0000 0.3804
Al2 Al 0.0000 0.5000 0.2450
Ga1 Ga 0.0000 0.0000 0.6082
Pd1 Pd 0.0000 0.5000 0.7486


# PrAl3GaPd | the Alexandria database | PBE-GGA | relaxed
# Formation enthalpy at 0 K: -0.41 eV/atom
# DOS(E_F): 0.385 states/eV per atom
data_PrAl3GaPd
_symmetry_space_group_name_H-M 'C m c m'
_symmetry_Int_Tables_number 63
_symmetry_space_group_name_Hall '-C 2c 2'
_cell_length_a 5.8590
_cell_length_b 14.3527
_cell_length_c 5.6798
_cell_angle_alpha 90.00
_cell_angle_beta 90.00
_cell_angle_gamma 90.00
loop_
_atom_site_label
_atom_site_type_symbol
_atom_site_fract_x
_atom_site_fract_y
_atom_site_fract_z
Pr1 Pr 0.0000 0.1948 0.2500
Al1 Al 0.0000 0.3722 0.7500
Al2 Al 0.2249 0.0000 0.0000
Ga1 Ga 0.0000 0.1440 0.7500
Pd1 Pd 0.0000 0.4006 0.2500


# PuAlGa2Pd | the Alexandria database | PBE-GGA | relaxed
# Formation enthalpy at 0 K: -0.48 eV/atom
# DOS(E_F): 2.612 states/eV per atom
data_PuAlGa2Pd
_symmetry_space_group_name_H-M 'I -4 m 2'
_symmetry_Int_Tables_number 119
_symmetry_space_group_name_Hall 'I -4 -2'
_cell_length_a 4.0870
_cell_length_b 4.0870
_cell_length_c 11.2688
_cell_angle_alpha 90.00
_cell_angle_beta 90.00
_cell_angle_gamma 90.00
loop_
_atom_site_label
_atom_site_type_symbol
_atom_site_fract_x
_atom_site_fract_y
_atom_site_fract_z
Pu1 Pu 0.0000 0.0000 0.0000
Al1 Al 0.0000 0.5000 0.2500
Ga1 Ga 0.0000 0.0000 0.3895
Pd1 Pd 0.0000 0.5000 0.7500


# PuAlGaPd | the Alexandria database | PBE-GGA | relaxed
# Offset from the most stable computed form: 0.00 kJ/mol of atoms
# Formation enthalpy at 0 K: -0.34 eV/atom
# DOS(E_F): 2.554 states/eV per atom
data_PuAlGaPd
_symmetry_space_group_name_H-M 'F -4 3 m'
_symmetry_Int_Tables_number 216
_symmetry_space_group_name_Hall 'F -4 2 3'
_cell_length_a 6.6856
_cell_length_b 6.6856
_cell_length_c 6.6856
_cell_angle_alpha 90.00
_cell_angle_beta 90.00
_cell_angle_gamma 90.00
loop_
_atom_site_label
_atom_site_type_symbol
_atom_site_fract_x
_atom_site_fract_y
_atom_site_fract_z
Pu1 Pu 0.0000 0.0000 0.0000
Al1 Al 0.2500 0.2500 0.7500
Ga1 Ga 0.2500 0.2500 0.2500
Pd1 Pd 0.0000 0.0000 0.5000


# PuAlGa4Pd2 | the Alexandria database | PBE-GGA | relaxed
# Formation enthalpy at 0 K: -0.35 eV/atom
# DOS(E_F): 1.599 states/eV per atom
data_PuAlGa4Pd2
_symmetry_space_group_name_H-M 'R -3 m'
_symmetry_Int_Tables_number 166
_symmetry_space_group_name_Hall '-R 3 2"'
_cell_length_a 4.3854
_cell_length_b 4.3854
_cell_length_c 26.4815
_cell_angle_alpha 90.00
_cell_angle_beta 90.00
_cell_angle_gamma 120.00
loop_
_atom_site_label
_atom_site_type_symbol
_atom_site_fract_x
_atom_site_fract_y
_atom_site_fract_z
Pu1 Pu 0.0000 0.0000 0.0000
Al1 Al 0.0000 0.0000 0.5000
Ga1 Ga 0.0000 0.0000 0.1161
Ga2 Ga 0.0000 0.0000 0.3961
Pd1 Pd 0.0000 0.0000 0.2201


# PuAlGaPd | the Alexandria database | PBE-GGA | relaxed
# Offset from the most stable computed form: 3.03 kJ/mol of atoms
# Formation enthalpy at 0 K: -0.31 eV/atom
# DOS(E_F): 2.544 states/eV per atom
data_PuAlGaPd
_symmetry_space_group_name_H-M 'R 3 m'
_symmetry_Int_Tables_number 160
_symmetry_space_group_name_Hall 'R 3 -2"'
_cell_length_a 4.7390
_cell_length_b 4.7390
_cell_length_c 11.6305
_cell_angle_alpha 90.00
_cell_angle_beta 90.00
_cell_angle_gamma 120.00
loop_
_atom_site_label
_atom_site_type_symbol
_atom_site_fract_x
_atom_site_fract_y
_atom_site_fract_z
Pu1 Pu 0.0000 0.0000 0.0000
Al1 Al 0.0000 0.0000 0.2496
Ga1 Ga 0.0000 0.0000 0.5000
Pd1 Pd 0.0000 0.0000 0.7505


# Pu2AlGa6Pd | the Alexandria database | PBE-GGA | relaxed
# Formation enthalpy at 0 K: -0.25 eV/atom
# DOS(E_F): 2.429 states/eV per atom
data_Pu2AlGa6Pd
_symmetry_space_group_name_H-M 'R -3 m'
_symmetry_Int_Tables_number 166
_symmetry_space_group_name_Hall '-R 3 2"'
_cell_length_a 6.3692
_cell_length_b 6.3692
_cell_length_c 34.7836
_cell_angle_alpha 90.00
_cell_angle_beta 90.00
_cell_angle_gamma 120.00
loop_
_atom_site_label
_atom_site_type_symbol
_atom_site_fract_x
_atom_site_fract_y
_atom_site_fract_z
Pu1 Pu 0.0000 0.0000 0.1083
Pu2 Pu 0.0000 0.0000 0.2835
Al1 Al 0.0000 0.0000 0.4271
Ga1 Ga 0.0533 0.5266 0.2991
Ga2 Ga 0.0716 0.5358 0.8667
Pd1 Pd 0.0000 0.0000 0.0000
Pd2 Pd 0.0000 0.0000 0.5000


# PuAl3GaPd | the Alexandria database | PBE-GGA | relaxed
# Formation enthalpy at 0 K: -0.30 eV/atom
# DOS(E_F): 1.602 states/eV per atom
data_PuAl3GaPd
_symmetry_space_group_name_H-M 'C m c m'
_symmetry_Int_Tables_number 63
_symmetry_space_group_name_Hall '-C 2c 2'
_cell_length_a 5.8244
_cell_length_b 13.7718
_cell_length_c 5.6765
_cell_angle_alpha 90.00
_cell_angle_beta 90.00
_cell_angle_gamma 90.00
loop_
_atom_site_label
_atom_site_type_symbol
_atom_site_fract_x
_atom_site_fract_y
_atom_site_fract_z
Pu1 Pu 0.0000 0.1917 0.2500
Al1 Al 0.0000 0.3677 0.7500
Al2 Al 0.2242 0.0000 0.0000
Ga1 Ga 0.0000 0.1568 0.7500
Pd1 Pd 0.0000 0.3969 0.2500


# PuAl2Ga2Pd2 | the Alexandria database | PBE-GGA | relaxed
# Formation enthalpy at 0 K: -0.56 eV/atom
# DOS(E_F): 1.962 states/eV per atom
data_PuAl2Ga2Pd2
_symmetry_space_group_name_H-M 'R -3 m'
_symmetry_Int_Tables_number 166
_symmetry_space_group_name_Hall '-R 3 2"'
_cell_length_a 4.2991
_cell_length_b 4.2991
_cell_length_c 24.6055
_cell_angle_alpha 90.00
_cell_angle_beta 90.00
_cell_angle_gamma 120.00
loop_
_atom_site_label
_atom_site_type_symbol
_atom_site_fract_x
_atom_site_fract_y
_atom_site_fract_z
Pu1 Pu 0.0000 0.0000 0.0000
Al1 Al 0.0000 0.0000 0.1340
Ga1 Ga 0.0000 0.0000 0.4059
Pd1 Pd 0.0000 0.0000 0.2369


# AlGaPdRh | the Alexandria database | PBE-GGA | relaxed
# Offset from the most stable computed form: 0.00 kJ/mol of atoms
# Formation enthalpy at 0 K: -0.78 eV/atom
# DOS(E_F): 0.451 states/eV per atom
data_AlGaPdRh
_symmetry_space_group_name_H-M 'P 4 m m'
_symmetry_Int_Tables_number 99
_cell_length_a 2.9243
_cell_length_b 2.9243
_cell_length_c 6.6915
_cell_angle_alpha 90.00
_cell_angle_beta 90.00
_cell_angle_gamma 90.00
loop_
_symmetry_equiv_pos_as_xyz
'x,y,z'
'-y,x,z'
'-x,-y,z'
'y,-x,z'
'-x,y,z'
'y,x,z'
'x,-y,z'
'-y,-x,z'
loop_
_atom_site_label
_atom_site_type_symbol
_atom_site_fract_x
_atom_site_fract_y
_atom_site_fract_z
Al1 Al 0.0000 0.0000 0.0000
Ga1 Ga 0.0000 0.0000 0.5194
Pd1 Pd 0.5000 0.5000 0.2507
Rh1 Rh 0.5000 0.5000 0.7679


# AlGaPdRh | the Alexandria database | PBE-GGA | relaxed
# Offset from the most stable computed form: 1.97 kJ/mol of atoms
# Formation enthalpy at 0 K: -0.76 eV/atom
# DOS(E_F): 0.650 states/eV per atom
data_AlGaPdRh
_symmetry_space_group_name_H-M 'F -4 3 m'
_symmetry_Int_Tables_number 216
_symmetry_space_group_name_Hall 'F -4 2 3'
_cell_length_a 6.1069
_cell_length_b 6.1069
_cell_length_c 6.1069
_cell_angle_alpha 90.00
_cell_angle_beta 90.00
_cell_angle_gamma 90.00
loop_
_atom_site_label
_atom_site_type_symbol
_atom_site_fract_x
_atom_site_fract_y
_atom_site_fract_z
Al1 Al 0.0000 0.0000 0.0000
Ga1 Ga 0.0000 0.0000 0.5000
Pd1 Pd 0.2500 0.2500 0.2500
Rh1 Rh 0.2500 0.2500 0.7500


# ScAlGaPd | the Alexandria database | PBE-GGA | relaxed
# Formation enthalpy at 0 K: -0.66 eV/atom
# DOS(E_F): 0.539 states/eV per atom
data_ScAlGaPd
_symmetry_space_group_name_H-M 'F -4 3 m'
_symmetry_Int_Tables_number 216
_symmetry_space_group_name_Hall 'F -4 2 3'
_cell_length_a 6.4370
_cell_length_b 6.4370
_cell_length_c 6.4370
_cell_angle_alpha 90.00
_cell_angle_beta 90.00
_cell_angle_gamma 90.00
loop_
_atom_site_label
_atom_site_type_symbol
_atom_site_fract_x
_atom_site_fract_y
_atom_site_fract_z
Sc1 Sc 0.0000 0.0000 0.0000
Al1 Al 0.0000 0.0000 0.5000
Ga1 Ga 0.2500 0.2500 0.7500
Pd1 Pd 0.2500 0.2500 0.2500


# Sc4Al2GaPd | the Alexandria database | PBE-GGA | relaxed
# Formation enthalpy at 0 K: -0.57 eV/atom
# DOS(E_F): 0.708 states/eV per atom
data_Sc4Al2GaPd
_symmetry_space_group_name_H-M 'R -3 m'
_symmetry_Int_Tables_number 166
_symmetry_space_group_name_Hall '-R 3 2"'
_cell_length_a 4.7642
_cell_length_b 4.7642
_cell_length_c 23.3347
_cell_angle_alpha 90.00
_cell_angle_beta 90.00
_cell_angle_gamma 120.00
loop_
_atom_site_label
_atom_site_type_symbol
_atom_site_fract_x
_atom_site_fract_y
_atom_site_fract_z
Sc1 Sc 0.0000 0.0000 0.1250
Sc2 Sc 0.0000 0.0000 0.3754
Al1 Al 0.0000 0.0000 0.2485
Ga1 Ga 0.0000 0.0000 0.0000
Pd1 Pd 0.0000 0.0000 0.5000


# ScAlGa2Pd4 | the Alexandria database | PBE-GGA | relaxed
# Formation enthalpy at 0 K: -0.79 eV/atom
# DOS(E_F): 0.347 states/eV per atom
data_ScAlGa2Pd4
_symmetry_space_group_name_H-M 'R -3 m'
_symmetry_Int_Tables_number 166
_symmetry_space_group_name_Hall '-R 3 2"'
_cell_length_a 4.4507
_cell_length_b 4.4507
_cell_length_c 21.7772
_cell_angle_alpha 90.00
_cell_angle_beta 90.00
_cell_angle_gamma 120.00
loop_
_atom_site_label
_atom_site_type_symbol
_atom_site_fract_x
_atom_site_fract_y
_atom_site_fract_z
Sc1 Sc 0.0000 0.0000 0.0000
Al1 Al 0.0000 0.0000 0.5000
Ga1 Ga 0.0000 0.0000 0.2541
Pd1 Pd 0.0000 0.0000 0.1299
Pd2 Pd 0.0000 0.0000 0.3836


# Al2GaPdSe6 | the Alexandria database | PBE-GGA | relaxed
# Formation energy (no corrections): -0.547 eV per atom
# DOS(E_F): 0.286 states/eV per atom
data_Al2GaPdSe6
_symmetry_space_group_name_H-M 'C 1 2/c 1'
_symmetry_Int_Tables_number 15
_cell_length_a 14.2753
_cell_length_b 12.9774
_cell_length_c 6.6812
_cell_angle_alpha 90.00
_cell_angle_beta 111.70
_cell_angle_gamma 90.00
loop_
_symmetry_equiv_pos_as_xyz
'x,y,z'
'-x,-y,-z'
'-x,y,-z+1/2'
'x,-y,z+1/2'
'x+1/2,y+1/2,z'
'-x+1/2,-y+1/2,-z'
'-x+1/2,y+1/2,-z+1/2'
'x+1/2,-y+1/2,z+1/2'
loop_
_atom_site_label
_atom_site_type_symbol
_atom_site_fract_x
_atom_site_fract_y
_atom_site_fract_z
Al1 Al 0.0661 0.0919 0.1192
Ga1 Ga 0.0000 0.3228 0.7500
Pd1 Pd 0.0000 0.4229 0.2500
Se1 Se 0.1050 0.4422 0.6385
Se2 Se 0.1176 0.2611 0.0948
Se3 Se 0.1188 0.0710 0.5139


# SmAlGaPd3 | the Alexandria database | PBE-GGA | relaxed
# Formation enthalpy at 0 K: -0.66 eV/atom
# DOS(E_F): 0.375 states/eV per atom
data_SmAlGaPd3
_symmetry_space_group_name_H-M 'C m c m'
_symmetry_Int_Tables_number 63
_symmetry_space_group_name_Hall '-C 2c 2'
_cell_length_a 6.6428
_cell_length_b 12.3094
_cell_length_c 5.6495
_cell_angle_alpha 90.00
_cell_angle_beta 90.00
_cell_angle_gamma 90.00
loop_
_atom_site_label
_atom_site_type_symbol
_atom_site_fract_x
_atom_site_fract_y
_atom_site_fract_z
Sm1 Sm 0.0000 0.2060 0.2500
Al1 Al 0.0000 0.4552 0.2500
Ga1 Ga 0.0000 0.1347 0.7500
Pd1 Pd 0.0000 0.3382 0.7500
Pd2 Pd 0.2072 0.0000 0.0000


# Sm2AlGa6Pd | the Alexandria database | PBE-GGA | relaxed
# Formation enthalpy at 0 K: -0.40 eV/atom
# DOS(E_F): 0.503 states/eV per atom
data_Sm2AlGa6Pd
_symmetry_space_group_name_H-M 'R -3 m'
_symmetry_Int_Tables_number 166
_symmetry_space_group_name_Hall '-R 3 2"'
_cell_length_a 6.3884
_cell_length_b 6.3884
_cell_length_c 35.0528
_cell_angle_alpha 90.00
_cell_angle_beta 90.00
_cell_angle_gamma 120.00
loop_
_atom_site_label
_atom_site_type_symbol
_atom_site_fract_x
_atom_site_fract_y
_atom_site_fract_z
Sm1 Sm 0.0000 0.0000 0.1074
Sm2 Sm 0.0000 0.0000 0.2843
Al1 Al 0.0000 0.0000 0.4276
Ga1 Ga 0.0520 0.5260 0.2976
Ga2 Ga 0.0726 0.5363 0.8661
Pd1 Pd 0.0000 0.0000 0.0000
Pd2 Pd 0.0000 0.0000 0.5000


# Sm2Al4GaPd3 | the Alexandria database | PBE-GGA | relaxed
# Formation enthalpy at 0 K: -0.79 eV/atom
# DOS(E_F): 0.584 states/eV per atom
data_Sm2Al4GaPd3
_symmetry_space_group_name_H-M 'P -4 m 2'
_symmetry_Int_Tables_number 115
_cell_length_a 4.2835
_cell_length_b 4.2835
_cell_length_c 10.4961
_cell_angle_alpha 90.00
_cell_angle_beta 90.00
_cell_angle_gamma 90.00
loop_
_symmetry_equiv_pos_as_xyz
'x,y,z'
'y,-x,-z'
'-x,-y,z'
'-y,x,-z'
'-x,y,z'
'-y,-x,-z'
'x,-y,z'
'y,x,-z'
loop_
_atom_site_label
_atom_site_type_symbol
_atom_site_fract_x
_atom_site_fract_y
_atom_site_fract_z
Sm1 Sm 0.0000 0.5000 0.2489
Al1 Al 0.0000 0.0000 0.5000
Al2 Al 0.0000 0.5000 0.8624
Al3 Al 0.5000 0.5000 0.5000
Ga1 Ga 0.5000 0.5000 0.0000
Pd1 Pd 0.0000 0.0000 0.0000
Pd2 Pd 0.0000 0.5000 0.6282


# Sm2AlGa3Pd4 | the Alexandria database | PBE-GGA | relaxed
# Formation enthalpy at 0 K: -0.82 eV/atom
# DOS(E_F): 0.865 states/eV per atom
data_Sm2AlGa3Pd4
_symmetry_space_group_name_H-M 'P -4 m 2'
_symmetry_Int_Tables_number 115
_cell_length_a 4.3154
_cell_length_b 4.3154
_cell_length_c 10.2825
_cell_angle_alpha 90.00
_cell_angle_beta 90.00
_cell_angle_gamma 90.00
loop_
_symmetry_equiv_pos_as_xyz
'x,y,z'
'y,-x,-z'
'-x,-y,z'
'-y,x,-z'
'-x,y,z'
'-y,-x,-z'
'x,-y,z'
'y,x,-z'
loop_
_atom_site_label
_atom_site_type_symbol
_atom_site_fract_x
_atom_site_fract_y
_atom_site_fract_z
Sm1 Sm 0.0000 0.5000 0.2491
Al1 Al 0.0000 0.0000 0.5000
Ga1 Ga 0.0000 0.5000 0.8711
Ga2 Ga 0.5000 0.5000 0.5000
Pd1 Pd 0.0000 0.0000 0.0000
Pd2 Pd 0.0000 0.5000 0.6302
Pd3 Pd 0.5000 0.5000 0.0000